First-principles (meta-GGA SCAN) data for TeAsOsN2 at its PBEsol-relaxed geometry, as listed in Alexandria via LeMat-Bulk.

Cell: 3.8168 3.8168 5.8031 Å, 90.00 90.00 90.00°
Positions (direct):
Te  0.0000  0.0000  0.0000
As  0.5000  0.5000  0.0000
Os  0.0000  0.0000  0.5000
N  0.0000  0.5000  0.5000
N  0.5000  0.0000  0.5000

Properties
Formation energy from raw total energies: 0.8102 eV/atom
Calculated density: 8.3 g/cm3
Magnetization: 1.2 Bohr magnetons per cell
V: 85 Å³ per cell
Fermi-level density of states: 0.5032 states/eV per atom

***

First-principles (meta-GGA SCAN) data for CrGa2PdO at its PBEsol-relaxed geometry, as listed in Alexandria via LeMat-Bulk.

Cell: 4.8018 4.8018 3.4140 Å, 90.00 90.00 90.00°
Positions (direct):
Cr  0.0000  0.0000  0.0000
Ga  0.0000  0.5000  0.0000
Ga  0.5000  0.0000  0.0000
Pd  0.5000  0.5000  0.5000
O  0.0000  0.0000  0.5000

Properties
Formation energy from raw total energies: -0.2253 eV/atom
Calculated density: 6.6 g/cm3
Magnetization: 1.8 Bohr magnetons per cell
V: 79 Å³ per cell
Fermi-level density of states: 0.4078 states/eV per atom

***

First-principles (meta-GGA SCAN) data for K2ZrAlSi at its PBEsol-relaxed geometry, as listed in Alexandria via LeMat-Bulk.

Cell: 6.3748 6.3748 4.4968 Å, 90.00 90.00 90.00°
Positions (direct):
K  0.0000  0.5000  0.0000
K  0.5000  0.0000  0.0000
Zr  0.0000  0.0000  0.5000
Al  0.5000  0.5000  0.0000
Si  0.5000  0.5000  0.5000

Properties
Formation energy from raw total energies: 1.1392 eV/atom
Calculated density: 2.0 g/cm3
Magnetization: 3.2 Bohr magnetons per cell
V: 183 Å³ per cell
Fermi-level density of states: 0.9712 states/eV per atom

***

First-principles (meta-GGA SCAN) data for K2ReBMo at its PBEsol-relaxed geometry, as listed in Alexandria via LeMat-Bulk.

Cell: 6.3556 6.3556 3.9603 Å, 90.00 90.00 90.00°
Positions (direct):
K  0.0000  0.5000  0.0000
K  0.5000  0.0000  0.0000
Re  0.0000  0.0000  0.5000
B  0.5000  0.5000  0.5000
Mo  0.5000  0.5000  0.0000

Properties
Calculated density: 3.9 g/cm3
Magnetization: 7.3 Bohr magnetons per cell
V: 160 Å³ per cell
Fermi-level density of states: 0.7880 states/eV per atom
Formation enthalpy at 0 K: 2.369 eV per atom

***

Look up the magnetization of the second one. 1.8 Bohr magnetons per cell

***

Number 4 is which compound? K2ReBMo